Material: RbSm2Cu3S5
Method: DFT, GGA-PBE
State: relaxed

It has space group Cmcm (No. 63), with a = 3.996 Å, b = 14.029 Å, c = 16.873 Å, α = 90.00°, β = 90.00° and γ = 90.00°. The inequivalent atoms are Rb at (0.000, 0.066, 0.250), Sm at (0.000, 0.191, 0.592), Cu at (0.000, 0.343, 0.250), Cu at (0.000, 0.417, 0.537), S at (0.000, 0.164, 0.070), S at (0.000, 0.237, 0.750) and S at (0.000, 0.442, 0.113).

The value obtained for the volume is 21.5 Å³ per atom. For the energy, the calculation gives -222.62 eV for the cell shown.

---

Material: LiTaBePd
Method: DFT, GGA-PBE
State: relaxed

It has space group F-43m (No. 216), with a = 5.997 Å, b = 5.997 Å, c = 5.997 Å, α = 90.00°, β = 90.00° and γ = 90.00°. The inequivalent atoms are Li at (0.000, 0.000, 0.000), Ta at (0.250, 0.250, 0.750), Be at (0.250, 0.250, 0.250) and Pd at (0.000, 0.000, 0.500).

The value obtained for the volume is 13.5 Å³ per atom. The offset from the most stable computed form comes out at 0.000 eV/atom. For the energy, the calculation gives -91.89 eV for the cell shown.

---

Material: TmPt8N2
Method: DFT, GGA-PBE
State: relaxed

It has space group C2/m (No. 12), with a = 13.176 Å, b = 3.507 Å, c = 9.602 Å, α = 90.00°, β = 132.24° and γ = 90.00°. The inequivalent atoms are Tm at (0.000, 0.000, 0.000), Pt at (0.012, 0.000, 0.374), Pt at (0.141, 0.500, 0.918), Pt at (0.146, 0.500, 0.336), Pt at (0.175, 0.500, 0.669) and N at (0.200, 0.500, 0.180).

The value obtained for the volume is 14.9 Å³ per atom. For the energy, the calculation gives -140.37 eV for the cell shown.

---

Material: TbCo2
Method: DFT, GGA-PBE
State: relaxed

It has space group Fd-3m (No. 227, origin choice 2), with a = 7.156 Å, b = 7.156 Å, c = 7.156 Å, α = 90.00°, β = 90.00° and γ = 90.00°. The inequivalent atoms are Tb at (0.125, 0.125, 0.125) and Co at (0.000, 0.000, 0.500).

The value obtained for the volume is 15.3 Å³ per atom. Its formation enthalpy at 0 K is -0.18 eV per atom. For the energy, the calculation gives -155.06 eV for the cell shown.

---

Material: PrZr3
Method: DFT, GGA-PBE
State: relaxed

It has space group P6_3/mmc (No. 194), with a = 6.7126 Å, b = 6.7126 Å, c = 5.3274 Å, α = 90.00°, β = 90.00° and γ = 120.00°. The inequivalent atoms are Pr at (0.3333, 0.6667, 0.2500) and Zr at (0.1567, 0.3135, 0.7500).

The value obtained for the volume is 26.0 Å³ per atom. Its formation enthalpy at 0 K is 0.14 eV per atom. The offset from the most stable computed form comes out at 0.000 eV/atom. For the energy, the calculation gives -59.70 eV for the cell shown.

---

Material: MgCdAu2
Method: DFT, GGA-PBE
State: relaxed

It has space group Cmmm (No. 65), with a = 6.449 Å, b = 6.551 Å, c = 3.553 Å, α = 90.00°, β = 90.00° and γ = 90.00°. The inequivalent atoms are Mg at (0.000, 0.000, 0.000), Cd at (0.000, 0.500, 0.000) and Au at (0.250, 0.250, 0.500).

The value obtained for the volume is 18.8 Å³ per atom. For the energy, the calculation gives -21.13 eV for the cell shown.

---

Material: CuAgGePt
Method: DFT, GGA-PBE
State: relaxed

It has space group F-43m (No. 216), with a = 6.312 Å, b = 6.312 Å, c = 6.312 Å, α = 90.00°, β = 90.00° and γ = 90.00°. The inequivalent atoms are Cu at (0.000, 0.000, 0.000), Ag at (0.250, 0.250, 0.250), Ge at (0.250, 0.250, 0.750) and Pt at (0.000, 0.000, 0.500).

The value obtained for the volume is 15.7 Å³ per atom. The offset from the most stable computed form comes out at 0.000 eV/atom. For the energy, the calculation gives -69.03 eV for the cell shown.

---

Material: LiTmGe
Method: DFT, GGA-PBE
State: relaxed

It has space group R-3m (No. 166, hexagonal axes), with a = 4.7378 Å, b = 4.7378 Å, c = 22.1425 Å, α = 90.00°, β = 90.00° and γ = 120.00°. The inequivalent atoms are Li at (0.0000, 0.0000, 0.1328), Tm at (0.0000, 0.0000, 0.3839) and Ge at (0.0000, 0.0000, 0.2511).

The value obtained for the volume is 23.9 Å³ per atom. For the energy, the calculation gives -74.32 eV for the cell shown.

---

Material: AcTcPt
Method: DFT, GGA-PBE
State: relaxed

It has space group F-43m (No. 216), with a = 6.848 Å, b = 6.848 Å, c = 6.848 Å, α = 90.00°, β = 90.00° and γ = 90.00°. The inequivalent atoms are Ac at (0.000, 0.000, 0.000), Tc at (0.000, 0.000, 0.500) and Pt at (0.250, 0.250, 0.250).

The value obtained for the volume is 26.8 Å³ per atom. Its formation enthalpy at 0 K is 0.30 eV per atom. For the energy, the calculation gives -78.43 eV for the cell shown.

---

Material: ErScS2Cl2
Method: DFT, GGA-PBE
State: relaxed

It has space group Pmm2 (No. 25), with a = 3.816 Å, b = 5.206 Å, c = 8.192 Å, α = 90.00°, β = 90.00° and γ = 90.00°. The inequivalent atoms are Er at (0.000, 0.000, 0.000), Sc at (0.500, 0.500, 0.272), S at (0.000, 0.500, 0.057), S at (0.500, 0.000, 0.234), Cl at (0.000, 0.500, 0.475) and Cl at (0.500, 0.000, 0.780).

The value obtained for the volume is 27.1 Å³ per atom. For the energy, the calculation gives -35.35 eV for the cell shown.

---

Material: BeAg2Pt2
Method: DFT, GGA-PBE
State: relaxed

It has space group P4/mbm (No. 127), with a = 5.908 Å, b = 5.908 Å, c = 4.596 Å, α = 90.00°, β = 90.00° and γ = 90.00°. The inequivalent atoms are Be at (0.000, 0.000, 0.000), Ag at (0.168, 0.332, 0.500) and Pt at (0.154, 0.654, 0.000).

The value obtained for the volume is 16.0 Å³ per atom. For the energy, the calculation gives -44.60 eV for the cell shown.

---

Material: TbPrNi2As2
Method: DFT, GGA-PBE
State: relaxed

It has space group P-3m1 (No. 164), with a = 4.1003 Å, b = 4.1003 Å, c = 7.9695 Å, α = 90.00°, β = 90.00° and γ = 120.00°. The inequivalent atoms are Tb at (0.0000, 0.0000, 0.0000), Pr at (0.0000, 0.0000, 0.5000), Ni at (0.3333, 0.6667, 0.2425) and As at (0.3333, 0.6667, 0.7611).

The value obtained for the volume is 19.3 Å³ per atom. For the energy, the calculation gives -36.16 eV for the cell shown.

---

Material: LiNbAgTe3
Method: DFT, GGA-PBE
State: relaxed

It has space group Cmcm (No. 63), with a = 3.825 Å, b = 14.290 Å, c = 10.719 Å, α = 90.00°, β = 90.00° and γ = 90.00°. The inequivalent atoms are Li at (0.000, 0.214, 0.250), Nb at (0.000, 0.000, 0.000), Ag at (0.000, 0.462, 0.750), Te at (0.000, 0.103, 0.750) and Te at (0.000, 0.355, 0.542).

The value obtained for the volume is 24.4 Å³ per atom. For the energy, the calculation gives -104.62 eV for the cell shown.